La8Pr3Sc after structural relaxation, computed with GGA-PBE.

abc: 8.607 8.607 8.607
angles: 93.63 117.93 117.93
Positions (direct):
Pr 0.500 0.750 0.250
La 0.000 0.258 0.773
Pr 0.500 0.250 0.750
Sc 0.000 0.000 0.000
La 0.752 0.123 0.123
Pr 0.000 0.500 0.500
La 0.000 0.629 0.877
La 0.000 0.773 0.258
La 0.000 0.877 0.629
La 0.248 0.371 0.371
La 0.485 0.227 0.227
La 0.515 0.742 0.742

Results
Its crystal system is tetragonal. As for the formation enthalpy at 0 K: 0.459 eV/atom. Its symmetry is I-42m, No. 121. For the calculated density, the calculation gives 5.7 g/cm³. The total energy comes out at -54.584 eV/cell.